1.
DFT (PBE-GGA) results for crystalline ZrCuS2N at its relaxed geometry.

Values from the calculation:
Total energy, eV/atom: -5.5702
Volume, Å³ per atom: 15.2

POSCAR file:
```
ZrCuS2N
1.0
4.539 0.000 0.000
0.000 4.539 0.000
0.000 0.000 3.686
N S Zr Cu
1 2 1 1
Cartesian
0.000 0.000 1.843
0.000 2.270 0.000
2.270 0.000 0.000
2.270 2.270 1.843
0.000 0.000 0.000
```

2.
DFT (PBE-GGA) results for crystalline ZrCuS2N at its relaxed geometry.

Values from the calculation:
Total energy, eV/atom: -5.6004
Volume, Å³ per atom: 20.9

POSCAR file:
```
ZrCuS2N
1.0
5.036 0.000 0.000
0.000 5.036 0.000
0.000 0.000 4.111
Cu N S Zr
1 1 2 1
Cartesian
2.518 2.518 2.055
0.000 0.000 2.055
2.518 0.000 0.000
0.000 2.518 0.000
0.000 0.000 0.000
```

3.
DFT (PBE-GGA) results for crystalline Cu3SbN at its relaxed geometry.

Values from the calculation:
Total energy, eV/atom: -4.4993
Volume, Å³ per atom: 13.8

POSCAR file:
```
Cu3SbN
1.0
4.098 0.000 0.000
0.000 4.098 0.000
0.000 0.000 4.098
Cu Sb N
3 1 1
Cartesian
0.000 0.000 2.049
2.049 0.000 0.000
0.000 2.049 0.000
2.049 2.049 2.049
0.000 0.000 0.000
```

4.
DFT (PBE-GGA) results for crystalline CuSb2N2 at its relaxed geometry.

Values from the calculation:
Total energy, eV/atom: -5.6716
Volume, Å³ per atom: 27.6

POSCAR file:
```
CuSb2N2
1.0
2.485 -1.909 0.632
-0.230 5.420 0.136
1.847 1.161 11.141
Cu N Sb
1 2 2
Cartesian
0.000 0.000 0.000
2.194 2.704 6.347
1.908 1.967 5.562
0.732 1.701 1.802
3.370 2.970 10.107
```

5.
DFT (PBE-GGA) results for crystalline Cu4SbN2 at its relaxed geometry.

Values from the calculation:
Total energy, eV/atom: -4.5698
Volume, Å³ per atom: 18.4

POSCAR file:
```
Cu4SbN2
1.0
-3.568 -2.662 2.652
1.803 -4.421 -2.012
2.173 -3.970 4.000
Cu N Sb
4 2 1
Cartesian
-0.226 -7.299 2.494
0.901 -2.210 -1.006
0.634 -3.754 2.146
-1.784 -1.331 1.326
-0.510 -3.594 0.769
0.918 -7.459 3.871
0.000 0.000 0.000
```

6.
DFT (PBE-GGA) results for crystalline Cu2SbN at its relaxed geometry.

Values from the calculation:
Total energy, eV/atom: -4.0743
Volume, Å³ per atom: 14.2

POSCAR file:
```
Cu2SbN
1.0
0.000 3.052 3.052
3.052 0.000 3.052
3.052 3.052 0.000
Sb N Cu
1 1 2
Cartesian
3.052 3.052 3.052
0.000 0.000 0.000
1.526 1.526 1.526
4.579 4.579 4.579
```

7.
DFT (PBE-GGA) results for crystalline CuSbN2 at its relaxed geometry.

Values from the calculation:
Total energy, eV/atom: -5.8122
Volume, Å³ per atom: 13.4

POSCAR file:
```
CuSbN2
1.0
4.386 4.380 -0.049
5.495 2.052 -2.002
3.340 4.198 -3.105
Cu N Sb
1 2 1
Cartesian
0.000 0.000 0.000
1.390 1.118 -0.542
11.831 9.512 -4.614
6.611 5.315 -2.578
```

8.
DFT (PBE-GGA) results for crystalline Cu3SbN at its relaxed geometry.

Values from the calculation:
Total energy, eV/atom: -3.4371
Volume, Å³ per atom: 23.5

POSCAR file:
```
Cu3SbN
1.0
-4.876 0.430 -0.216
-0.326 -1.329 4.705
0.355 4.696 1.351
Cu N Sb
3 1 1
Cartesian
-2.438 0.215 -0.108
0.177 2.348 0.675
-0.163 -0.664 2.352
-2.424 1.899 2.920
0.000 0.000 0.000
```

9.
DFT (PBE-GGA) results for crystalline Cu2SbN at its relaxed geometry.

Values from the calculation:
Total energy, eV/atom: -4.6947
Volume, Å³ per atom: 16.2

POSCAR file:
```
Cu2SbN
1.0
4.821 0.000 0.000
0.000 4.821 0.000
2.410 2.410 5.571
Cu N Sb
4 2 2
Cartesian
2.742 1.205 1.393
3.616 4.489 4.178
6.026 5.152 4.178
2.079 3.616 1.393
2.410 2.410 0.000
2.410 4.821 2.785
4.821 2.410 2.785
0.000 0.000 0.000
```

10.
DFT (PBE-GGA) results for crystalline CuSbN2 at its relaxed geometry.

Values from the calculation:
Total energy, eV/atom: -5.2016
Volume, Å³ per atom: 13.1

POSCAR file:
```
CuSbN2
1.0
-4.706 -1.528 4.059
-2.897 0.446 5.688
-5.009 1.567 3.662
Sb N Cu
1 2 1
Cartesian
0.000 0.000 0.000
-11.145 0.429 11.849
-1.467 0.056 1.560
-6.306 0.243 6.704
```

11.
DFT (PBE-GGA) results for crystalline CuSbN2 at its relaxed geometry.

Values from the calculation:
Total energy, eV/atom: -5.6458
Volume, Å³ per atom: 13.7

POSCAR file:
```
CuSbN2
1.0
-2.025 1.251 4.147
2.726 -3.190 2.293
3.722 2.371 3.859
N Cu Sb
4 2 2
Cartesian
0.001 0.979 3.853
3.048 1.059 5.304
2.386 -1.247 2.906
3.411 0.074 8.535
3.399 -0.894 4.686
0.350 -0.969 3.220
0.000 0.000 0.000
1.024 1.326 5.613
```

12.
DFT (PBE-GGA) results for crystalline CuSbSe2N at its relaxed geometry.

Values from the calculation:
Total energy, eV/atom: -3.6468
Volume, Å³ per atom: 22.4

POSCAR file:
```
CuSbSe2N
1.0
-4.878 -1.994 0.985
-0.535 -1.252 -5.185
1.570 -3.502 0.684
Se Cu Sb N
2 1 1 1
Cartesian
-2.439 -0.997 0.493
-0.268 -0.626 -2.593
-1.921 -3.374 -1.758
0.000 0.000 0.000
0.785 -1.751 0.342
```